An optimized crystal structure of LiFe3Bi5. Source: OQMD, functional PBE.

It has space group P6/mmm (No. 191), with a = 5.4903 Å, b = 5.4903 Å, c = 8.5037 Å, α = 90.00°, β = 90.00° and γ = 120.00°. Symmetry generates all atoms from Li at (0.0000, 0.0000, 0.0000), Fe at (0.0000, 0.5000, 0.5000), Bi at (0.0000, 0.0000, 0.5000) and Bi at (0.3333, 0.6667, 0.2210).


An optimized crystal structure of LiMgFeBi. Source: OQMD, functional PBE.

The calculation puts the energy above the most stable polymorph in this dataset at 0.00 eV/f.u.

It has space group F-43m (No. 216), with a = 6.531 Å, b = 6.531 Å, c = 6.531 Å, α = 90.00°, β = 90.00° and γ = 90.00°. Symmetry generates all atoms from Li at (0.000, 0.000, 0.000), Mg at (0.250, 0.250, 0.250), Fe at (0.000, 0.000, 0.500) and Bi at (0.250, 0.250, 0.750).


An optimized crystal structure of LiFeBiMo. Source: OQMD, functional PBE.

The calculation puts the energy above the most stable polymorph in this dataset at 0.00 eV/f.u.

It has space group F-43m (No. 216), with a = 6.241 Å, b = 6.241 Å, c = 6.241 Å, α = 90.00°, β = 90.00° and γ = 90.00°. Symmetry generates all atoms from Li at (0.000, 0.000, 0.000), Fe at (0.000, 0.000, 0.500), Bi at (0.250, 0.250, 0.250) and Mo at (0.250, 0.250, 0.750).


An optimized crystal structure of LiFeBiOs. Source: OQMD, functional PBE.

The calculation puts the energy above the most stable polymorph in this dataset at 0.00 eV/f.u.

It has space group F-43m (No. 216), with a = 6.270 Å, b = 6.270 Å, c = 6.270 Å, α = 90.00°, β = 90.00° and γ = 90.00°. Symmetry generates all atoms from Li at (0.000, 0.000, 0.000), Fe at (0.000, 0.000, 0.500), Bi at (0.250, 0.250, 0.250) and Os at (0.250, 0.250, 0.750).


An optimized crystal structure of LiFeBiPd. Source: OQMD, functional PBE.

The calculation puts the energy above the most stable polymorph in this dataset at 0.00 eV/f.u.

It has space group F-43m (No. 216), with a = 6.409 Å, b = 6.409 Å, c = 6.409 Å, α = 90.00°, β = 90.00° and γ = 90.00°. Symmetry generates all atoms from Li at (0.000, 0.000, 0.000), Fe at (0.000, 0.000, 0.500), Bi at (0.250, 0.250, 0.250) and Pd at (0.250, 0.250, 0.750).


An optimized crystal structure of LiFeReBi. Source: OQMD, functional PBE.

The calculation puts the energy above the most stable polymorph in this dataset at 0.00 eV/f.u.

It has space group F-43m (No. 216), with a = 6.245 Å, b = 6.245 Å, c = 6.245 Å, α = 90.00°, β = 90.00° and γ = 90.00°. Symmetry generates all atoms from Li at (0.000, 0.000, 0.000), Fe at (0.000, 0.000, 0.500), Re at (0.250, 0.250, 0.750) and Bi at (0.250, 0.250, 0.250).


Going through the records in order, we get electronic total energy values of -45.7, -61.7, -93.4, -94.6, -78.9, -97.1 eV per cell.